Computed, not measured: an optimized crystal structure of ScTiCr at the GGA-PBE level of DFT.

The structure belongs to space group I4mm (No. 107); the cell edges are 3.2130, 3.2130 and 10.0292 Å and the angles 90.00°, 90.00° and 90.00°. The asymmetric unit holds Sc at (0.0000, 0.0000, 0.0000), Ti at (0.0000, 0.0000, 0.2865) and Cr at (0.0000, 0.0000, 0.6790).

The calculation puts the density at 4.645 Mg/m³. Its density of states at the Fermi level is 7.3 states/eV per cell. The calculation puts the energy above the most stable polymorph in this dataset at 0 meV per atom.